(1)
# Ac3Nd2NbN6 | Alexandria via LeMat-Bulk | PBE | optimized geometry
data_Ac3Nd2NbN6
_cell_length_a 6.298
_cell_length_b 10.895
_cell_length_c 6.386
_cell_angle_alpha 90.00
_cell_angle_beta 108.97
_cell_angle_gamma 90.00
_symmetry_space_group_name_H-M 'C 1 2/m 1'
_symmetry_Int_Tables_number 12
loop_
_symmetry_equiv_pos_as_xyz
'x,y,z'
'-x,-y,-z'
'-x,y,-z'
'x,-y,z'
'x+1/2,y+1/2,z'
'-x+1/2,-y+1/2,-z'
'-x+1/2,y+1/2,-z'
'x+1/2,-y+1/2,z'
loop_
_atom_site_label
_atom_site_type_symbol
_atom_site_fract_x
_atom_site_fract_y
_atom_site_fract_z
Ac1 Ac 0.000 0.000 0.000
Ac2 Ac 0.000 0.334 0.000
Nd1 Nd 0.000 0.167 0.500
Nb1 Nb 0.000 0.500 0.500
N1 N 0.217 0.353 0.710
N2 N 0.225 0.500 0.278
# DFT total energy ... -190.09 eV per cell

***

(2)
# Ac2Nd3NbN6 | Alexandria via LeMat-Bulk | PBE | optimized geometry
data_Ac2Nd3NbN6
_cell_length_a 6.326
_cell_length_b 11.056
_cell_length_c 6.185
_cell_angle_alpha 90.00
_cell_angle_beta 109.64
_cell_angle_gamma 90.00
_symmetry_space_group_name_H-M 'C 1 2/m 1'
_symmetry_Int_Tables_number 12
loop_
_symmetry_equiv_pos_as_xyz
'x,y,z'
'-x,-y,-z'
'-x,y,-z'
'x,-y,z'
'x+1/2,y+1/2,z'
'-x+1/2,-y+1/2,-z'
'-x+1/2,y+1/2,-z'
'x+1/2,-y+1/2,z'
loop_
_atom_site_label
_atom_site_type_symbol
_atom_site_fract_x
_atom_site_fract_y
_atom_site_fract_z
Ac1 Ac 0.000 0.168 0.000
Nd1 Nd 0.000 0.000 0.500
Nd2 Nd 0.000 0.343 0.500
Nb1 Nb 0.000 0.500 0.000
N1 N 0.216 0.500 0.757
N2 N 0.219 0.359 0.227
# DFT total energy ... -192.06 eV per cell

***

(3)
# AcNdNbN4 | Alexandria via LeMat-Bulk | PBE | optimized geometry
data_AcNdNbN4
_cell_length_a 5.816
_cell_length_b 12.871
_cell_length_c 5.807
_cell_angle_alpha 90.00
_cell_angle_beta 90.00
_cell_angle_gamma 90.00
_symmetry_space_group_name_H-M 'C m c m'
_symmetry_Int_Tables_number 63
_symmetry_space_group_name_Hall '-C 2c 2'
loop_
_atom_site_label
_atom_site_type_symbol
_atom_site_fract_x
_atom_site_fract_y
_atom_site_fract_z
Ac1 Ac 0.000 0.103 0.250
Nd1 Nd 0.000 0.389 0.250
Nb1 Nb 0.000 0.261 0.750
N1 N 0.000 0.086 0.750
N2 N 0.000 0.421 0.750
N3 N 0.250 0.250 0.000
# DFT total energy ... -236.48 eV per cell

***

(4)
# Ac2NpNbN6 | Alexandria via LeMat-Bulk | PBE | optimized geometry
data_Ac2NpNbN6
_cell_length_a 5.968
_cell_length_b 8.362
_cell_length_c 6.012
_cell_angle_alpha 90.00
_cell_angle_beta 90.00
_cell_angle_gamma 90.00
_symmetry_space_group_name_H-M 'P m m n'
_symmetry_Int_Tables_number 59
loop_
_symmetry_equiv_pos_as_xyz
'x,y,z'
'-x,-y,-z'
'-x+1/2,-y+1/2,z'
'x+1/2,y+1/2,-z'
'x+1/2,-y,-z'
'-x+1/2,y,z'
'-x,y+1/2,-z'
'x,-y+1/2,z'
loop_
_atom_site_label
_atom_site_type_symbol
_atom_site_fract_x
_atom_site_fract_y
_atom_site_fract_z
Ac1 Ac 0.250 0.000 0.228
Np1 Np 0.250 0.250 0.750
Nb1 Nb 0.250 0.750 0.726
N1 N 0.001 0.250 0.982
N2 N 0.004 0.250 0.490
N3 N 0.250 0.506 0.779
# DFT total energy ... -184.20 eV per cell

***

(5)
# Ac2NpNbN5 | Alexandria via LeMat-Bulk | PBE | optimized geometry
data_Ac2NpNbN5
_cell_length_a 3.625
_cell_length_b 14.419
_cell_length_c 11.163
_cell_angle_alpha 90.00
_cell_angle_beta 90.00
_cell_angle_gamma 90.00
_symmetry_space_group_name_H-M 'C m c 21'
_symmetry_Int_Tables_number 36
loop_
_symmetry_equiv_pos_as_xyz
'x,y,z'
'-x,-y,z+1/2'
'-x,y,z'
'x,-y,z+1/2'
'x+1/2,y+1/2,z'
'-x+1/2,-y+1/2,z+1/2'
'-x+1/2,y+1/2,z'
'x+1/2,-y+1/2,z+1/2'
loop_
_atom_site_label
_atom_site_type_symbol
_atom_site_fract_x
_atom_site_fract_y
_atom_site_fract_z
Ac1 Ac 0.000 0.107 0.000
Ac2 Ac 0.000 0.144 0.604
Np1 Np 0.000 0.211 0.320
Nb1 Nb 0.000 0.483 0.773
N1 N 0.000 0.050 0.348
N2 N 0.000 0.280 0.949
N3 N 0.000 0.314 0.703
N4 N 0.000 0.379 0.317
N5 N 0.000 0.492 0.103
# DFT total energy ... -332.53 eV per cell

***

(6)
# AcNb4NO5 | Alexandria via LeMat-Bulk | PBE | optimized geometry
data_AcNb4NO5
_cell_length_a 4.229
_cell_length_b 4.229
_cell_length_c 8.249
_cell_angle_alpha 90.00
_cell_angle_beta 90.00
_cell_angle_gamma 90.00
_symmetry_space_group_name_H-M 'P 4/m m m'
_symmetry_Int_Tables_number 123
_symmetry_space_group_name_Hall '-P 4 2'
loop_
_atom_site_label
_atom_site_type_symbol
_atom_site_fract_x
_atom_site_fract_y
_atom_site_fract_z
Ac1 Ac 0.000 0.000 0.000
Nb1 Nb 0.000 0.500 0.500
Nb2 Nb 0.500 0.500 0.248
N1 N 0.500 0.500 0.000
O1 O 0.000 0.000 0.500
O2 O 0.000 0.500 0.238
# DFT total energy ... -100.84 eV per cell

***

(7)
# Ac2NbN3O | Alexandria via LeMat-Bulk | PBE | optimized geometry
data_Ac2NbN3O
_cell_length_a 4.099
_cell_length_b 4.141
_cell_length_c 13.323
_cell_angle_alpha 90.00
_cell_angle_beta 90.00
_cell_angle_gamma 90.00
_symmetry_space_group_name_H-M 'I m m m'
_symmetry_Int_Tables_number 71
_symmetry_space_group_name_Hall '-I 2 2'
loop_
_atom_site_label
_atom_site_type_symbol
_atom_site_fract_x
_atom_site_fract_y
_atom_site_fract_z
Ac1 Ac 0.000 0.000 0.146
Nb1 Nb 0.000 0.000 0.500
N1 N 0.000 0.000 0.338
N2 N 0.000 0.500 0.500
O1 O 0.000 0.500 0.000
# DFT total energy ... -118.49 eV per cell

***

(8)
# AcNbNO2 | Alexandria via LeMat-Bulk | PBE | optimized geometry
data_AcNbNO2
_cell_length_a 5.780
_cell_length_b 5.780
_cell_length_c 8.436
_cell_angle_alpha 90.00
_cell_angle_beta 90.00
_cell_angle_gamma 90.00
_symmetry_space_group_name_H-M 'I 4/m c m'
_symmetry_Int_Tables_number 140
_symmetry_space_group_name_Hall '-I 4 2c'
loop_
_atom_site_label
_atom_site_type_symbol
_atom_site_fract_x
_atom_site_fract_y
_atom_site_fract_z
Ac1 Ac 0.000 0.500 0.250
Nb1 Nb 0.000 0.000 0.000
N1 N 0.000 0.000 0.250
O1 O 0.198 0.302 0.000
# DFT total energy ... -175.60 eV per cell

***

> What is the DFT total energy in the first record?

-190.09 eV per cell

***

> Which of these has the lowest DFT total energy?

Ac2NpNbN5